First-principles (PBE) data for a relaxed Be2W crystal, as listed in Alexandria.

Geometry as extended XYZ:
```
6
Lattice="1.265 -8.019 0.000 1.265 8.019 0.000 0.000 0.000 3.321" Properties=species:S:1:pos:R:3 pbc="T T T"
W 1.265 -3.023 0.830
W 1.265 3.023 2.491
Be 1.265 -1.127 2.491
Be 1.265 1.127 0.830
Be 1.265 -7.291 2.491
Be 1.265 7.291 0.830
```

Properties
ΔH_f (0 K) (eV per atom): 0.291
E above lowest polymorph (meV per atom): 604
Raw total energy (eV per formula unit): -19.53
Space group: No. 63



First-principles (PBE) data for a relaxed BeW2 crystal, as listed in Alexandria.

Geometry as extended XYZ:
```
6
Lattice="1.327 4.527 0.618 -1.327 4.527 0.618 0.000 2.162 7.198" Properties=species:S:1:pos:R:3 pbc="T T T"
W 0.000 7.804 1.763
W 0.000 3.412 6.673
W 0.000 5.909 5.649
W 0.000 5.307 2.786
Be 0.000 2.703 3.264
Be 0.000 8.512 5.171
```

Properties
ΔH_f (0 K) (eV per atom): 0.241
E above lowest polymorph (meV per atom): 367
Raw total energy (eV per formula unit): -28.91
Space group: No. 12



First-principles (PBE) data for a relaxed BeW5 crystal, as listed in Alexandria.

Geometry as extended XYZ:
```
6
Lattice="2.405 -4.165 0.000 2.405 4.165 0.000 0.000 0.000 4.630" Properties=species:S:1:pos:R:3 pbc="T T T"
W 1.621 -2.807 0.000
W 2.405 -1.388 2.315
W 2.405 1.388 2.315
W 1.568 0.000 0.000
W 1.621 2.807 0.000
Be 0.000 0.000 2.315
```

Properties
ΔH_f (0 K) (eV per atom): 0.451
E above lowest polymorph (meV per atom): 276
Raw total energy (eV per formula unit): -65.78
Space group: No. 189